The following is a DFT calculation (PBEsol) of Sr2ReBr after structural relaxation.

- DFT total energy: -4.06 eV per atom
- V: 121.06 Å³/cell
- E_form (uncorrected): 0.663 eV/atom
- Mass density: 6.054 g/cm3
- Relative energy among the computed polymorphs: 396 meV/atom

Cell lengths 3.5792, 3.5792, 9.4500 Å; angles 90.00, 90.00, 90.00 degrees
With the nearest neighbours (Å) after each atom.
Sites, in units of the cell vectors:
Br (0.0000, 0.0000, 0.5034)  4 Sr 3.04, 4 Re 3.34
Sr (0.0000, 0.0000, 0.9373)  4 Re 3.18
Sr (0.5000, 0.5000, 0.3252)  4 Br 3.04
Re (0.5000, 0.5000, 0.7341)  4 Sr 3.18, 4 Br 3.34